(1)
The following is a GGA-PBE calculation of a relaxed structure of ZrOsRu, from the Alexandria database.

Values from the calculation:
* relative energy among the computed polymorphs: 9.43 kcal/mol of atoms
* total magnetization: 0.00 μB per atom

Unit cell a=3.246 b=3.246 c=9.497 alpha=90.00 beta=90.00 gamma=90.00
Space group I4mm (No. 107)
One atom of each set of equivalent atoms:
Zr: 0.000 0.000 0.000 [2 per cell]
Os: 0.000 0.000 0.337 [2 per cell]
Ru: 0.000 0.000 0.663 [2 per cell]


(2)
The following is a GGA-PBE calculation of a relaxed structure of TaCu3Te4, from the Alexandria database.

Values from the calculation:
* relative energy among the computed polymorphs: 0.00 kcal/mol of atoms
* total magnetization: 0.00 μB per atom
* E_form (uncorrected): -266 meV/atom

Unit cell a=5.998 b=5.998 c=5.998 alpha=90.00 beta=90.00 gamma=90.00
Space group P-43m (No. 215)
One atom of each set of equivalent atoms:
Ta: 0.000 0.000 0.000 [1 per cell]
Cu: 0.000 0.000 0.500 [3 per cell]
Te: 0.257 0.257 0.257 [4 per cell]


(3)
The following is a GGA-PBE calculation of a relaxed structure of LaDyMnHg, from the Alexandria database.

Values from the calculation:
* total magnetization: 0.78 μB per atom
* total DFT energy (no corrections): -76.95 eV for the cell shown

Unit cell a=7.478 b=7.478 c=7.478 alpha=90.00 beta=90.00 gamma=90.00
Space group F-43m (No. 216)
One atom of each set of equivalent atoms:
La: 0.000 0.000 0.000 [4 per cell]
Dy: 0.000 0.000 0.500 [4 per cell]
Mn: 0.250 0.250 0.250 [4 per cell]
Hg: 0.250 0.250 0.750 [4 per cell]


(4)
The following is a GGA-PBE calculation of a relaxed structure of NaLiVTe2, from the Alexandria database.

Values from the calculation:
* total magnetization: 0.56 μB per atom
* E_form (uncorrected): 27 meV/atom

Unit cell a=5.352 b=5.352 c=5.409 alpha=90.00 beta=90.00 gamma=90.00
Space group P4/mmm (No. 123)
One atom of each set of equivalent atoms:
Na: 0.000 0.000 0.000 [1 per cell]
Li: 0.500 0.500 0.000 [1 per cell]
V: 0.000 0.000 0.500 [1 per cell]
Te: 0.000 0.500 0.500 [2 per cell]


(5)
The following is a GGA-PBE calculation of a relaxed structure of HgPPt3, from the Alexandria database.

Values from the calculation:
* relative energy among the computed polymorphs: 8.54 kcal/mol of atoms
* total magnetization: 0.00 μB per atom

Unit cell a=4.543 b=4.543 c=4.543 alpha=90.00 beta=90.00 gamma=90.00
Space group Pm-3m (No. 221)
One atom of each set of equivalent atoms:
Hg: 0.000 0.000 0.000 [1 per cell]
P: 0.500 0.500 0.500 [1 per cell]
Pt: 0.000 0.500 0.500 [3 per cell]


(6)
The following is a GGA-PBE calculation of a relaxed structure of Y2HoTe, from the Alexandria database.

Values from the calculation:
* relative energy among the computed polymorphs: 10.36 kcal/mol of atoms
* total magnetization: 0.26 μB per atom
* E_form (uncorrected): -220 meV/atom

Unit cell a=3.8265 b=3.8265 c=31.9545 alpha=90.00 beta=90.00 gamma=120.00
Space group R-3m (No. 166, hexagonal axes)
One atom of each set of equivalent atoms:
Y: 0.0000 0.0000 0.1021 [6 per cell]
Ho: 0.0000 0.0000 0.0000 [3 per cell]
Te: 0.0000 0.0000 0.5000 [3 per cell]


(7)
The following is a GGA-PBE calculation of a relaxed structure of Mn4PdS8, from the Alexandria database.

Values from the calculation:
* total magnetization: 0.87 μB per atom
* E_form (uncorrected): -525 meV/atom

Unit cell a=11.651 b=6.727 c=8.192 alpha=90.00 beta=134.58 gamma=90.00
Space group C2/m (No. 12)
One atom of each set of equivalent atoms:
Mn: 0.000 0.241 0.000 [4 per cell]
Mn: 0.242 0.000 0.990 [4 per cell]
Pd: 0.000 0.500 0.500 [2 per cell]
S: 0.023 0.500 0.216 [4 per cell]
S: 0.031 0.000 0.231 [4 per cell]
S: 0.220 0.251 0.771 [8 per cell]


(8)
The following is a GGA-PBE calculation of a relaxed structure of Tb2BeSnPt6, from the Alexandria database.

Values from the calculation:
* total magnetization: 0.00 μB per atom
* total DFT energy (no corrections): -185.00 eV for the cell shown

Unit cell a=5.5840 b=5.5840 c=23.6513 alpha=90.00 beta=90.00 gamma=120.00
Space group R-3m (No. 166, hexagonal axes)
One atom of each set of equivalent atoms:
Tb: 0.0000 0.0000 0.2006 [6 per cell]
Be: 0.0000 0.0000 0.5000 [3 per cell]
Sn: 0.0000 0.0000 0.0000 [3 per cell]
Pt: 0.0039 0.5019 0.2406 [18 per cell]


(9)
The following is a GGA-PBE calculation of a relaxed structure of La2SmGe2I2, from the Alexandria database.

Values from the calculation:
* total magnetization: 0.00 μB per atom
* E_form (uncorrected): -843 meV/atom

Unit cell a=5.473 b=5.473 c=16.536 alpha=90.00 beta=90.00 gamma=90.00
Space group I4/mmm (No. 139)
One atom of each set of equivalent atoms:
La: 0.000 0.000 0.105 [4 per cell]
Sm: 0.000 0.000 0.500 [2 per cell]
Ge: 0.000 0.500 0.000 [4 per cell]
I: 0.000 0.000 0.304 [4 per cell]


(10)
The following is a GGA-PBE calculation of a relaxed structure of Nd2TmTe2As2, from the Alexandria database.

Values from the calculation:
* total magnetization: 0.00 μB per atom
* E_form (uncorrected): -1042 meV/atom

Unit cell a=5.273 b=5.273 c=15.780 alpha=90.00 beta=90.00 gamma=90.00
Space group I4/mmm (No. 139)
One atom of each set of equivalent atoms:
Nd: 0.000 0.000 0.114 [4 per cell]
Tm: 0.000 0.000 0.500 [2 per cell]
Te: 0.000 0.000 0.309 [4 per cell]
As: 0.000 0.500 0.000 [4 per cell]


(11)
The following is a GGA-PBE calculation of a relaxed structure of HoMg2Cd, from the Alexandria database.

Values from the calculation:
* relative energy among the computed polymorphs: 0.00 kcal/mol of atoms
* total magnetization: 0.00 μB per atom

Unit cell a=5.124 b=5.124 c=7.167 alpha=90.00 beta=90.00 gamma=90.00
Space group I-4m2 (No. 119)
One atom of each set of equivalent atoms:
Ho: 0.000 0.000 0.000 [2 per cell]
Mg: 0.000 0.000 0.500 [2 per cell]
Mg: 0.000 0.500 0.750 [2 per cell]
Cd: 0.000 0.500 0.250 [2 per cell]


(12)
The following is a GGA-PBE calculation of a relaxed structure of Tb2SiAu, from the Alexandria database.

Values from the calculation:
* total magnetization: 0.00 μB per atom
* E_form (uncorrected): -681 meV/atom

Unit cell a=3.550 b=3.550 c=7.251 alpha=90.00 beta=90.00 gamma=90.00
Space group P4/mmm (No. 123)
One atom of each set of equivalent atoms:
Tb: 0.000 0.000 0.243 [2 per cell]
Si: 0.500 0.500 0.000 [1 per cell]
Au: 0.500 0.500 0.500 [1 per cell]


(13)
The following is a GGA-PBE calculation of a relaxed structure of KBaTl2, from the Alexandria database.

Values from the calculation:
* relative energy among the computed polymorphs: 0.37 kcal/mol of atoms
* total magnetization: 0.00 μB per atom

Unit cell a=4.271 b=4.285 c=8.623 alpha=90.00 beta=90.07 gamma=90.00
Space group P2/m (No. 10)
One atom of each set of equivalent atoms:
K: 0.000 0.000 0.000 [1 per cell]
Ba: 0.000 0.000 0.500 [1 per cell]
Tl: 0.499 0.500 0.259 [2 per cell]